1.
Density functional theory data (meta-GGA SCAN) for Li2MoCBr at its PBEsol-relaxed geometry.

abc: 3.932 3.932 5.014
angles: 90.00 90.00 90.00
Last column: magnetic moment on the atom in μB.
Sites, in units of the cell vectors:
1 Mo 0.500 0.500 0.500  3.74
2 C 0.000 0.000 0.000  0.10
3 Br 0.000 0.000 0.500  0.03
4 Li 0.000 0.500 0.000  0.01
5 Li 0.500 0.000 0.000  0.01

Space group: P4/mmm
Raw formation energy (kJ per mole of atoms): 119.0
Crystal system: tetragonal
Electronic total energy (Ha/atom): -0.463
DOS(E_F) (states/eV per atom): 0.388



2.
Density functional theory data (meta-GGA SCAN) for ScCoBr2 at its PBEsol-relaxed geometry.

abc: 3.414 3.442 7.868
angles: 90.00 90.00 119.74
Last column: magnetic moment on the atom in μB.
Sites, in units of the cell vectors:
1 Br 0.000 0.000 0.723  0.03
2 Br 0.000 0.000 0.277  0.03
3 Co 0.500 0.000 0.500  1.81
4 Sc 0.500 0.000 0.000  0.08

Space group: Cmmm
Raw formation energy (kJ per mole of atoms): -24.8
Crystal system: orthorhombic
ΔE to the lowest computed polymorph (eV per atom): 0.4181
Electronic total energy (Ha/atom): -0.657
DOS(E_F) (states/eV per atom): 0.598



3.
Density functional theory data (meta-GGA SCAN) for MgTi at its PBEsol-relaxed geometry.

abc: 2.899 4.854 10.812
angles: 90.00 90.00 90.00
Sites, in units of the cell vectors:
1 Mg 0.000 0.000 0.560
2 Mg 0.500 0.000 0.286
3 Mg 0.000 0.500 0.714
4 Mg 0.500 0.500 0.440
5 Ti 0.000 0.000 0.038
6 Ti 0.500 0.000 0.822
7 Ti 0.000 0.500 0.178
8 Ti 0.500 0.500 0.962

Space group: Pmmn
Crystal system: orthorhombic
Energy relative to the elements (kJ/mol of formula units): 14
Electronic total energy (Ha/atom): -0.383
DOS(E_F) (states/eV per atom): 0.746



4.
Density functional theory data (meta-GGA SCAN) for PdCl2F at its PBEsol-relaxed geometry.

abc: 4.291 4.291 4.291
angles: 60.00 60.00 60.00
Last column: magnetic moment on the atom in μB.
Sites, in units of the cell vectors:
1 F 0.000 0.000 0.000  0.03
2 Pd 0.500 0.500 0.500  0.85
3 Cl 0.250 0.250 0.250  0.31
4 Cl 0.750 0.750 0.750  0.31

Space group: Fm-3m
Raw formation energy (kJ per mole of atoms): -5.0
Crystal system: cubic
Electronic total energy (Ha/atom): -0.482
DOS(E_F) (states/eV per atom): 0.956



5.
Density functional theory data (meta-GGA SCAN) for Tl2ReCl at its PBEsol-relaxed geometry.

abc: 3.175 4.842 6.052
angles: 90.00 90.00 90.00
Last column: magnetic moment on the atom in μB.
Sites, in units of the cell vectors:
1 Re 0.000 0.500 0.500  2.39
2 Tl 0.000 0.000 0.000  -0.01
3 Tl 0.500 0.000 0.500  -0.06
4 Cl 0.500 0.500 0.000  0.10

Space group: Pmmm
Raw formation energy (kJ per mole of atoms): 83.8
Crystal system: orthorhombic
ΔE to the lowest computed polymorph (eV per atom): 0.0000
Electronic total energy (Ha/atom): -2.024
DOS(E_F) (states/eV per atom): 0.315



6.
Density functional theory data (meta-GGA SCAN) for Tl2HgAu at its PBEsol-relaxed geometry.

abc: 5.126 5.126 5.126
angles: 60.00 60.00 60.00
Sites, in units of the cell vectors:
1 Au 0.500 0.500 0.500
2 Hg 0.250 0.250 0.250
3 Tl 0.000 0.000 0.000
4 Tl 0.750 0.750 0.750

Space group: F-43m
Crystal system: cubic
ΔE to the lowest computed polymorph (eV per atom): 0.1105
Energy relative to the elements (kJ/mol of formula units): 29
Electronic total energy (Ha/atom): -2.588
DOS(E_F) (states/eV per atom): 0.290



7.
Density functional theory data (meta-GGA SCAN) for BaCoAu2 at its PBEsol-relaxed geometry.

abc: 4.545 4.558 4.981
angles: 90.00 90.07 90.00
Last column: magnetic moment on the atom in μB.
Sites, in units of the cell vectors:
1 Co 0.000 0.500 0.773  1.87
2 Au 0.000 0.000 0.963  0.03
3 Au 0.999 0.500 0.281  0.03
4 Ba 0.500 0.000 0.482  -0.02

Space group: Pm
Crystal system: monoclinic
ΔE to the lowest computed polymorph (eV per atom): 0.1000
Energy relative to the elements (kJ/mol of formula units): -122
Electronic total energy (Ha/atom): -1.805
DOS(E_F) (states/eV per atom): 0.375



8.
Density functional theory data (meta-GGA SCAN) for CsPt2N2 at its PBEsol-relaxed geometry.

abc: 4.040 4.040 6.653
angles: 107.68 107.68 90.00
Sites, in units of the cell vectors:
1 Cs 0.000 0.000 0.000
2 Pt 0.250 0.750 0.500
3 Pt 0.750 0.250 0.500
4 N 0.301 0.301 0.603
5 N 0.699 0.699 0.397

Space group: I4/mmm
Raw formation energy (kJ per mole of atoms): 60.3
Crystal system: tetragonal
Electronic total energy (Ha/atom): -1.423
DOS(E_F) (states/eV per atom): 0.396



9.
Density functional theory data (meta-GGA SCAN) for MgRhCl2 at its PBEsol-relaxed geometry.

abc: 3.371 3.371 7.737
angles: 77.42 77.42 60.00
Last column: magnetic moment on the atom in μB.
Sites, in units of the cell vectors:
1 Mg 0.500 0.500 0.500  0.00
2 Rh 0.000 0.000 0.000  1.05
3 Cl 0.899 0.899 0.303  0.01
4 Cl 0.101 0.101 0.697  0.01

Space group: R-3m
Raw formation energy (kJ per mole of atoms): -67.6
Crystal system: trigonal
ΔE to the lowest computed polymorph (eV per atom): 0.0000
Electronic total energy (Ha/atom): -0.528
DOS(E_F) (states/eV per atom): 0.203



10.
Density functional theory data (meta-GGA SCAN) for KGa2CoPb at its PBEsol-relaxed geometry.

abc: 5.355 5.355 5.854
angles: 90.00 90.00 90.00
Last column: magnetic moment on the atom in μB.
Sites, in units of the cell vectors:
1 Pb 0.000 0.000 0.500  -0.01
2 K 0.000 0.000 0.000  0.00
3 Co 0.500 0.500 0.500  2.14
4 Ga 0.000 0.500 0.000  -0.01
5 Ga 0.500 0.000 0.000  -0.01

Space group: P4/mmm
Crystal system: tetragonal
Energy relative to the elements (kJ/mol of formula units): 781
Electronic total energy (Ha/atom): -0.926
DOS(E_F) (states/eV per atom): 0.828



11.
Density functional theory data (meta-GGA SCAN) for SmH2 at its PBEsol-relaxed geometry.

abc: 3.749 3.749 3.749
angles: 60.00 60.00 60.00
Sites, in units of the cell vectors:
1 H 0.250 0.250 0.250
2 H 0.750 0.750 0.750
3 Sm 0.000 0.000 0.000

Space group: Fm-3m
Crystal system: cubic
Electronic total energy (Ha/atom): -0.657
DOS(E_F) (states/eV per atom): 0.233



12.
Density functional theory data (meta-GGA SCAN) for CaSbP at its PBEsol-relaxed geometry.

abc: 4.793 4.793 4.793
angles: 60.00 60.00 60.00
Sites, in units of the cell vectors:
1 Sb 0.000 0.000 0.000
2 Ca 0.500 0.500 0.500
3 P 0.250 0.250 0.250

Space group: F-43m
Raw formation energy (kJ per mole of atoms): -31.4
Crystal system: cubic
ΔE to the lowest computed polymorph (eV per atom): 0.0000
Electronic total energy (Ha/atom): -0.714
DOS(E_F) (states/eV per atom): 0.695



Question: Which of these has the lowest electronic total energy?
Answer: Tl2HgAu